(1)
First-principles (PBE-GGA) data for CdOs4Cl after structural relaxation, as listed in the Alexandria database.

abc: 5.2904 5.2904 5.2904
angles: 60.00 60.00 60.00
Closest atoms and distances in Å follow each position.
Positions (direct):
Os: 0.3748 0.3748 0.8755  6 Os 2.64-2.65
Os: 0.8755 0.3748 0.3748  6 Os 2.64-2.65
Os: 0.3748 0.8755 0.3748  6 Os 2.64-2.65
Os: 0.3748 0.3748 0.3748  6 Os 2.64-2.65
Cd: 0.7500 0.7500 0.7500  12 Os 3.10, 4 Cl 3.24
Cl: 0.0000 0.0000 0.0000  12 Os 3.10, 4 Cd 3.24

The volume comes out at 104.70 Å³/cell. The value obtained for the uncorrected formation energy is 1315.7 meV/atom.



(2)
First-principles (PBE-GGA) data for Cd2OsCl after structural relaxation, as listed in the Alexandria database.

abc: 7.3416 5.1322 2.9233
angles: 90.00 66.53 127.00
Closest atoms and distances in Å follow each position.
Positions (direct):
Os: 0.5000 0.5000 0.0000  2 Os 2.92, 8 Cd 2.95
Cl: 0.0000 0.5000 0.5000  2 Cl 2.92, 8 Cd 2.95
Cd: 0.5000 0.0000 0.5000  2 Cd 2.92, 4 Cl 2.95, 4 Os 2.95
Cd: 0.0000 0.0000 0.0000  2 Cd 2.92, 4 Os 2.95, 4 Cl 2.95

The volume comes out at 76.25 Å³/cell. The value obtained for the uncorrected formation energy is 457.4 meV/atom. Its energy above the most stable polymorph in this dataset is 0.199 eV per atom.



(3)
First-principles (PBE-GGA) data for Cd2OsCl after structural relaxation, as listed in the Alexandria database.

abc: 9.0205 9.0205 9.0205
angles: 20.14 20.14 20.14
Closest atoms and distances in Å follow each position.
Positions (direct):
Os: 0.2500 0.2500 0.2500  6 Cd 2.82, 6 Os 3.15
Cd: 0.9979 0.9979 0.9979  3 Os 2.82, 3 Cl 2.91, 6 Cd 3.15
Cd: 0.5021 0.5021 0.5021  3 Os 2.82, 3 Cl 2.91, 6 Cd 3.15
Cl: 0.7500 0.7500 0.7500  6 Cd 2.91, 6 Cl 3.15

The volume comes out at 76.11 Å³/cell. The value obtained for the uncorrected formation energy is 340.6 meV/atom. Its energy above the most stable polymorph in this dataset is 0.082 eV per atom.



(4)
First-principles (PBE-GGA) data for Cd2OsCl after structural relaxation, as listed in the Alexandria database.

abc: 2.9792 2.9792 9.1566
angles: 90.00 90.00 90.00
Closest atoms and distances in Å follow each position.
Positions (direct):
Cd: 0.5000 0.5000 0.2322  8 Cd 2.98-3.28
Cd: 0.0000 0.0000 0.9579  4 Os 2.89, 4 Cd 2.98
Cl: 0.0000 0.0000 0.5682  4 Os 2.64
Os: 0.5000 0.5000 0.7417  4 Cl 2.64, 4 Cd 2.89

The volume comes out at 81.27 Å³/cell. The value obtained for the uncorrected formation energy is 633.3 meV/atom. Its energy above the most stable polymorph in this dataset is 0.375 eV per atom.